## Ce4TmTe5 (GGA-PBE)

Data for a relaxed structure of Ce4TmTe5.

The structure belongs to space group I4/mmm (No. 139); the cell edges are 4.455, 4.455 and 31.410 Å and the angles 90.00°, 90.00° and 90.00°. The asymmetric unit holds Ce at (0.000, 0.000, 0.101), Ce at (0.000, 0.000, 0.302), Tm at (0.000, 0.000, 0.500), Te at (0.000, 0.000, 0.000), Te at (0.000, 0.000, 0.201) and Te at (0.000, 0.000, 0.404).

The total DFT energy (no corrections) comes out at -5.71 eV per atom. The calculation puts the formation energy (no corrections) at -1.321 eV/atom.